No. 1
VASP calculation (PBE) on crystalline CeNd5Dy6 at its relaxed geometry.

Values from the calculation:
Space-group type: Immm

abc: 5.1141 10.0979 9.5250
angles: 122.01 105.57 90.00
Site moments in Bohr magnetons follow the coordinates.
Element x y z (fractional)
Nd1 0.6662 0.6662 0.3325  -0.01
Dy1 0.8346 0.0825 0.6691  0.00
Dy2 0.5000 0.2463 0.0000  0.04
Dy3 0.1654 0.9175 0.3309  0.00
Dy4 0.5000 0.7537 0.0000  0.04
Dy5 0.8346 0.5867 0.6691  0.00
Ce1 0.0000 0.0000 0.0000  0.75
Nd2 0.6650 0.1650 0.3300  0.00
Nd3 0.3338 0.3338 0.6675  -0.01
Nd4 0.0000 0.5000 0.0000  0.00
Dy6 0.1654 0.4133 0.3309  0.00
Nd5 0.3350 0.8350 0.6700  0.00

---

No. 2
VASP calculation (PBE) on crystalline CeNdDy6 at its relaxed geometry.

Values from the calculation:
Space-group type: P-1
Distance to the lowest polymorph of the same formula in eV/atom: 0.170

abc: 6.5884 6.5098 7.4782
angles: 115.70 65.05 89.98
Site moments in Bohr magnetons follow the coordinates.
Element x y z (fractional)
Ce1 0.0000 0.5000 0.0000  0.79
Dy1 0.5004 0.7485 0.0002  0.04
Dy2 0.0882 0.7312 0.4623  0.06
Dy3 0.4392 0.2400 0.4799  0.04
Nd1 0.0000 0.0000 0.0000  0.04
Dy4 0.9118 0.2688 0.5377  0.06
Dy5 0.5608 0.7600 0.5201  0.04
Dy6 0.4996 0.2515 0.9998  0.04

---

No. 3
VASP calculation (PBE) on crystalline CeNdDy at its relaxed geometry.

Values from the calculation:
Space-group type: P4/nmm
Distance to the lowest polymorph of the same formula in eV/atom: 0.165

abc: 4.7862 4.7862 8.5511
angles: 90.00 90.00 90.00
Element x y z (fractional)
Ce1 0.0000 0.0000 0.0000
Dy1 0.5000 0.0000 0.3076
Nd1 0.0000 0.5000 0.2852
Nd2 0.5000 0.0000 0.7148
Ce2 0.5000 0.5000 0.0000
Dy2 0.0000 0.5000 0.6924

---

No. 4
VASP calculation (PBE) on crystalline CeNd2Dy4 at its relaxed geometry.

Values from the calculation:
Space-group type: Cm

abc: 3.6001 3.6047 20.3699
angles: 95.12 90.00 119.96
Site moments in Bohr magnetons follow the coordinates.
Element x y z (fractional)
Dy1 0.9035 0.8069 0.9483  -0.08
Dy2 0.4309 0.8618 0.5266  0.04
Dy3 0.0002 0.0004 0.2393  -0.01
Dy4 0.5253 0.0506 0.8094  0.00
Ce1 0.8051 0.6102 0.6679  0.80
Nd1 0.7129 0.4258 0.3825  0.00
Nd2 0.6236 0.2471 0.0941  -0.02

---

No. 5
VASP calculation (PBE) on crystalline CeNdDy at its relaxed geometry.

Values from the calculation:
Space-group type: I4mm
Distance to the lowest polymorph of the same formula in eV/atom: 0.005

abc: 3.5572 3.5572 7.9257
angles: 102.97 102.97 90.00
Site moments in Bohr magnetons follow the coordinates.
Element x y z (fractional)
Ce1 0.3316 0.3316 0.6632  0.20
Dy1 0.6741 0.6741 0.3482  -0.01
Nd1 0.9943 0.9943 0.9886  -0.01

---

No. 6
VASP calculation (PBE) on crystalline CeNd4Dy at its relaxed geometry.

Values from the calculation:
Space-group type: C2/m

abc: 10.9121 6.2862 6.2913
angles: 70.62 90.00 90.00
Site moments in Bohr magnetons follow the coordinates.
Element x y z (fractional)
Nd1 0.6636 0.0000 0.0003  0.01
Nd2 0.6655 0.4999 0.5004  0.01
Nd3 0.3345 0.5001 0.4996  0.01
Dy1 0.5000 0.0000 0.5000  0.03
Ce1 0.0000 0.5000 0.5000  0.78
Nd4 0.3364 0.0000 0.9997  0.01
Nd5 0.8364 0.0000 0.5003  0.01
Nd6 0.1655 0.5001 0.9996  0.01
Dy2 0.0000 0.0000 0.0000  0.03
Nd7 0.1636 0.0000 0.4997  0.01
Ce2 0.5000 0.5000 0.0000  0.78
Nd8 0.8345 0.4999 0.0004  0.01

---

Total moment for the records above, in order: 0.0802 0.1751 0.0005 0.1328 0.0693 0.1870 μB per atom
DFT formation energy for the records above, in order: 0.0345 0.2125 0.2366 0.0437 0.0761 0.0622 eV per atom